This record from Alexandria describes LaHoEr2 after structural relaxation. The functional is PBE.

Summary:
energy of formation: 112 meV per atom
V: 32.8 A^3/atom
ΔE to the lowest computed polymorph: 100.9 meV per atom
DOS(E_F): 26.16 states/eV/cell

a b c (Å): 8.0653 8.0653 8.0653
angles (deg): 90.00 90.00 90.00
Space group Fm-3m (No. 225)
Asymmetric unit:
La: 0.0000 0.0000 0.0000 x4
Ho: 0.0000 0.0000 0.5000 x4
Er: 0.2500 0.2500 0.2500 x8


This record from Alexandria describes LaHo2Er2 after structural relaxation. The functional is PBE.

Summary:
energy of formation: 515 meV per atom
V: 34.5 A^3/atom
ΔE to the lowest computed polymorph: 437.8 meV per atom
DOS(E_F): 17.68 states/eV/cell

a b c (Å): 5.9682 5.9682 9.6877
angles (deg): 90.00 90.00 90.00
Space group I4/mmm (No. 139)
Asymmetric unit:
La: 0.0000 0.0000 0.0000 x2
Ho: 0.0000 0.0000 0.3519 x4
Er: 0.0000 0.5000 0.2500 x4


This record from Alexandria describes La2HoEr6 after structural relaxation. The functional is PBE.

Summary:
energy of formation: 38 meV per atom
V: 32.1 A^3/atom
ΔE to the lowest computed polymorph: 0.0 meV per atom
DOS(E_F): 27.14 states/eV/cell

a b c (Å): 10.6670 10.6670 5.0812
angles (deg): 90.00 90.00 90.00
Space group P4_2/mnm (No. 136)
Asymmetric unit:
La: 0.1655 0.1655 0.0000 x4
Ho: 0.0000 0.0000 0.5000 x2
Er: 0.0012 0.3352 0.5000 x8
Er: 0.1678 0.8322 0.0000 x4


This record from Alexandria describes La3Ho4Er8 after structural relaxation. The functional is PBE.

Summary:
energy of formation: 391 meV per atom
V: 33.3 A^3/atom
DOS(E_F): 62.33 states/eV/cell

a b c (Å): 13.3867 12.8515 6.7197
angles (deg): 90.00 120.08 90.00
Space group C2/m (No. 12)
Asymmetric unit:
La: 0.0000 0.0000 0.0000 x2
La: 0.2500 0.2500 0.0000 x4
Ho: 0.0000 0.0000 0.5000 x2
Ho: 0.0000 0.5000 0.0000 x2
Ho: 0.2500 0.2500 0.5000 x4
Er: 0.0000 0.2554 0.0000 x4
Er: 0.0000 0.3644 0.5000 x4
Er: 0.2305 0.5000 0.9698 x4
Er: 0.2323 0.5000 0.4901 x4


This record from Alexandria describes La12Ho5Er2 after structural relaxation. The functional is PBE.

Summary:
energy of formation: 99 meV per atom
V: 35.0 A^3/atom
ΔE to the lowest computed polymorph: 0.0 meV per atom
DOS(E_F): 58.94 states/eV/cell

a b c (Å): 13.3092 11.7459 9.5810
angles (deg): 90.00 117.41 90.00
Space group C2/m (No. 12)
Asymmetric unit:
La: 0.0603 0.0000 0.2812 x4
La: 0.0956 0.5000 0.4187 x4
La: 0.1033 0.2402 0.9049 x8
La: 0.2160 0.2370 0.3166 x8
Ho: 0.0000 0.5000 0.0000 x2
Ho: 0.1957 0.0000 0.7291 x4
Ho: 0.2197 0.5000 0.8635 x4
Er: 0.0000 0.2157 0.5000 x4


This record from Alexandria describes La4Ho2Er3 after structural relaxation. The functional is PBE.

Summary:
energy of formation: 34 meV per atom
V: 33.5 A^3/atom
ΔE to the lowest computed polymorph: 0.0 meV per atom
DOS(E_F): 31.33 states/eV/cell

a b c (Å): 15.3630 5.1371 8.0598
angles (deg): 90.00 108.41 90.00
Space group C2/m (No. 12)
Asymmetric unit:
La: 0.0536 0.0000 0.3296 x4
La: 0.2236 0.5000 0.3325 x4
Ho: 0.1677 0.0000 0.0001 x4
Er: 0.0000 0.5000 0.0000 x2
Er: 0.1118 0.5000 0.6719 x4


This record from Alexandria describes La5Ho5Er2 after structural relaxation. The functional is PBE.

Summary:
energy of formation: 32 meV per atom
V: 33.4 A^3/atom
DOS(E_F): 37.80 states/eV/cell

a b c (Å): 15.4294 5.1100 11.3972
angles (deg): 90.00 116.78 90.00
Space group C2/m (No. 12)
Asymmetric unit:
La: 0.0000 0.0000 0.0000 x2
La: 0.0804 0.0000 0.7473 x4
La: 0.2484 0.0000 0.2529 x4
Ho: 0.0000 0.5000 0.5000 x2
Ho: 0.0853 0.5000 0.2547 x4
Ho: 0.1674 0.5000 0.9999 x4
Er: 0.1671 0.0000 0.4992 x4


This record from Alexandria describes La2Ho3Er after structural relaxation. The functional is PBE.

Summary:
energy of formation: 31 meV per atom
V: 32.9 A^3/atom
ΔE to the lowest computed polymorph: 0.0 meV per atom
DOS(E_F): 17.07 states/eV/cell

a b c (Å): 6.2126 6.2357 10.7987
angles (deg): 73.44 89.80 80.34
Space group P-1 (No. 2)
Asymmetric unit:
La: 0.1248 0.2496 0.1254 x2
La: 0.3755 0.7499 0.3751 x2
Ho: 0.1216 0.2500 0.4593 x2
Ho: 0.1283 0.2498 0.7907 x2
Ho: 0.3781 0.7497 0.0406 x2
Er: 0.3716 0.7502 0.7092 x2


This record from Alexandria describes La4Ho8Er3 after structural relaxation. The functional is PBE.

Summary:
energy of formation: 355 meV per atom
V: 33.9 A^3/atom
DOS(E_F): 59.82 states/eV/cell

a b c (Å): 13.4703 12.8647 6.7693
angles (deg): 90.00 119.90 90.00
Space group C2/m (No. 12)
Asymmetric unit:
La: 0.0000 0.0000 0.0000 x2
La: 0.0000 0.0000 0.5000 x2
La: 0.2500 0.2500 0.0000 x4
Ho: 0.0000 0.2564 0.0000 x4
Ho: 0.0000 0.3641 0.5000 x4
Ho: 0.2265 0.5000 0.9592 x4
Ho: 0.2310 0.5000 0.4856 x4
Er: 0.0000 0.5000 0.0000 x2
Er: 0.2500 0.2500 0.5000 x4


This record from Alexandria describes La2Ho5Er4 after structural relaxation. The functional is PBE.

Summary:
energy of formation: 72 meV per atom
V: 32.1 A^3/atom
ΔE to the lowest computed polymorph: 0.0 meV per atom
DOS(E_F): 39.15 states/eV/cell

a b c (Å): 17.1686 3.5146 11.7641
angles (deg): 90.00 95.12 90.00
Space group C2/m (No. 12)
Asymmetric unit:
La: 0.1351 0.0000 0.3134 x4
Ho: 0.0000 0.0000 0.5000 x2
Ho: 0.0454 0.5000 0.7866 x4
Ho: 0.0919 0.0000 0.0438 x4
Er: 0.1785 0.5000 0.5770 x4
Er: 0.2307 0.0000 0.8577 x4


This record from Alexandria describes La2Ho5Er5 after structural relaxation. The functional is PBE.

Summary:
energy of formation: 32 meV per atom
V: 31.8 A^3/atom
DOS(E_F): 37.13 states/eV/cell

a b c (Å): 15.1172 5.0326 11.2348
angles (deg): 90.00 116.60 90.00
Space group C2/m (No. 12)
Asymmetric unit:
La: 0.0825 0.0000 0.2484 x4
Ho: 0.0000 0.5000 0.0000 x2
Ho: 0.0858 0.5000 0.7505 x4
Ho: 0.1661 0.5000 0.5004 x4
Er: 0.0000 0.0000 0.5000 x2
Er: 0.1689 0.0000 0.0002 x4
Er: 0.2473 0.0000 0.7489 x4


This record from Alexandria describes La3HoEr2 after structural relaxation. The functional is PBE.

Summary:
energy of formation: 84 meV per atom
V: 34.3 A^3/atom
ΔE to the lowest computed polymorph: 0.0 meV per atom
DOS(E_F): 38.76 states/eV/cell

a b c (Å): 20.5522 3.6210 14.9100
angles (deg): 90.00 132.08 90.00
Space group C2/m (No. 12)
Asymmetric unit:
La: 0.0701 0.0000 0.3979 x4
La: 0.1112 0.5000 0.6491 x4
La: 0.1457 0.0000 0.8956 x4
Ho: 0.0269 0.5000 0.1450 x4
Er: 0.1924 0.5000 0.1418 x4
Er: 0.2246 0.0000 0.3731 x4


Question: Among the records above, which one has the highest V?
Answer: La12Ho5Er2